Compound: PmDyCu4
Source: Alexandria
Functional: PBE
Structure: relaxed

Cell and atoms, written as extended XYZ:
```
6
Lattice="0.0000 3.7473 3.7473 3.7473 0.0000 3.7473 3.7473 3.7473 0.0000" Properties=species:S:1:pos:R:3 pbc="T T T"
Pm 0.0000 0.0000 0.0000
Dy 5.6209 5.6209 5.6209
Cu 2.8154 2.8154 2.8154
Cu 4.6791 4.6791 2.8154
Cu 4.6791 2.8154 4.6791
Cu 2.8154 4.6791 4.6791
```

## Properties
- E_tot (eV per cell) = -26.534
- energy above the lowest structure with this stoichiometry (meV/atom) = 114
- space group = F-43m, No. 216
- calculated formation energy (eV per atom) = -0.1328